Model i:
KRe2Pt | PBE | relaxed

Geometry as CIF:
```
data_KRe2Pt
_chemical_formula_sum 'K2 Re4 Pt2'
_space_group_name_H-M_alt 'I m m 2'
_space_group_IT_number 44
_space_group_name_Hall 'I 2 -2'
_cell_length_a 3.058
_cell_length_b 5.403
_cell_length_c 9.844
_cell_angle_alpha 90.00
_cell_angle_beta 90.00
_cell_angle_gamma 90.00
loop_
_atom_site_label
_atom_site_type_symbol
_atom_site_fract_x
_atom_site_fract_y
_atom_site_fract_z
K1 K 0.000 0.000 0.000
Re1 Re 0.000 0.000 0.519
Re2 Re 0.000 0.500 0.201
Pt1 Pt 0.000 0.500 0.793
```

Computed properties:
The value obtained for the calculated volume is 20.33 A^3/atom.

***

Model ii:
KRe2Pt | PBE | relaxed

Geometry as CIF:
```
data_KRe2Pt
_chemical_formula_sum 'K2 Re4 Pt2'
_space_group_name_H-M_alt 'C 1 2/m 1'
_space_group_IT_number 12
_space_group_name_Hall '-C 2y'
_cell_length_a 5.499
_cell_length_b 10.445
_cell_length_c 2.639
_cell_angle_alpha 90.00
_cell_angle_beta 111.54
_cell_angle_gamma 90.00
loop_
_atom_site_label
_atom_site_type_symbol
_atom_site_fract_x
_atom_site_fract_y
_atom_site_fract_z
K1 K 0.000 0.000 0.000
Re1 Re 0.250 0.250 0.500
Pt1 Pt 0.000 0.500 0.000
```

Computed properties:
The value obtained for the calculated volume is 17.62 A^3/atom.

***

Stability summary: most stable model i, least stable model ii.

***

Model i:
KRe2Pt | PBE | relaxed

Geometry as CIF:
```
data_KRe2Pt
_chemical_formula_sum 'K1 Re2 Pt1'
_space_group_name_H-M_alt 'P m m m'
_space_group_IT_number 47
_space_group_name_Hall '-P 2 2'
_cell_length_a 2.724
_cell_length_b 4.422
_cell_length_c 7.371
_cell_angle_alpha 90.00
_cell_angle_beta 90.00
_cell_angle_gamma 90.00
loop_
_atom_site_label
_atom_site_type_symbol
_atom_site_fract_x
_atom_site_fract_y
_atom_site_fract_z
K1 K 0.000 0.000 0.000
Re1 Re 0.500 0.500 0.348
Pt1 Pt 0.000 0.000 0.500
```

Computed properties:
The value obtained for the calculated volume is 22.20 A^3/atom.

***

Model ii:
KRe2Pt | PBE | relaxed

Geometry as CIF:
```
data_KRe2Pt
_chemical_formula_sum 'K4 Re8 Pt4'
_space_group_name_H-M_alt 'F m -3 m'
_space_group_IT_number 225
_space_group_name_Hall '-F 4 2 3'
_cell_length_a 6.457
_cell_length_b 6.457
_cell_length_c 6.457
_cell_angle_alpha 90.00
_cell_angle_beta 90.00
_cell_angle_gamma 90.00
loop_
_atom_site_label
_atom_site_type_symbol
_atom_site_fract_x
_atom_site_fract_y
_atom_site_fract_z
K1 K 0.000 0.000 0.000
Re1 Re 0.250 0.250 0.250
Pt1 Pt 0.000 0.000 0.500
```

Computed properties:
The value obtained for the calculated volume is 16.83 A^3/atom.

***

Model iii:
KRe2Pt | PBE | relaxed

Geometry as CIF:
```
data_KRe2Pt
_chemical_formula_sum 'K2 Re4 Pt2'
_space_group_name_H-M_alt 'C m m 2'
_space_group_IT_number 35
_space_group_name_Hall 'C 2 -2'
_cell_length_a 2.951
_cell_length_b 4.656
_cell_length_c 10.348
_cell_angle_alpha 90.00
_cell_angle_beta 90.00
_cell_angle_gamma 90.00
loop_
_atom_site_label
_atom_site_type_symbol
_atom_site_fract_x
_atom_site_fract_y
_atom_site_fract_z
K1 K 0.000 0.000 0.000
Re1 Re 0.000 0.000 0.499
Re2 Re 0.000 0.500 0.706
Pt1 Pt 0.000 0.500 0.268
```

Computed properties:
The value obtained for the calculated volume is 17.77 A^3/atom.

***

Stability summary: most stable model iii, least stable model ii.

***

Model i:
KRe2Pt | PBE | relaxed

Geometry as CIF:
```
data_KRe2Pt
_chemical_formula_sum 'K2 Re4 Pt2'
_space_group_name_H-M_alt 'C m m m'
_space_group_IT_number 65
_space_group_name_Hall '-C 2 2'
_cell_length_a 5.410
_cell_length_b 9.912
_cell_length_c 2.623
_cell_angle_alpha 90.00
_cell_angle_beta 90.00
_cell_angle_gamma 90.00
loop_
_atom_site_label
_atom_site_type_symbol
_atom_site_fract_x
_atom_site_fract_y
_atom_site_fract_z
K1 K 0.000 0.000 0.000
Re1 Re 0.250 0.250 0.500
Pt1 Pt 0.000 0.500 0.000
```

Computed properties:
The value obtained for the calculated volume is 17.58 A^3/atom.

***

Model ii:
KRe2Pt | PBE | relaxed

Geometry as CIF:
```
data_KRe2Pt
_chemical_formula_sum 'K2 Re4 Pt2'
_space_group_name_H-M_alt 'I m m m'
_space_group_IT_number 71
_space_group_name_Hall '-I 2 2'
_cell_length_a 2.656
_cell_length_b 4.947
_cell_length_c 11.222
_cell_angle_alpha 90.00
_cell_angle_beta 90.00
_cell_angle_gamma 90.00
loop_
_atom_site_label
_atom_site_type_symbol
_atom_site_fract_x
_atom_site_fract_y
_atom_site_fract_z
K1 K 0.000 0.000 0.000
Re1 Re 0.000 0.500 0.212
Pt1 Pt 0.000 0.000 0.500
```

Computed properties:
The value obtained for the calculated volume is 18.43 A^3/atom.

***

Model iii:
KRe2Pt | PBE | relaxed

Geometry as CIF:
```
data_KRe2Pt
_chemical_formula_sum 'K2 Re4 Pt2'
_space_group_name_H-M_alt 'I 4/m m m'
_space_group_IT_number 139
_space_group_name_Hall '-I 4 2'
_cell_length_a 3.862
_cell_length_b 3.862
_cell_length_c 9.494
_cell_angle_alpha 90.00
_cell_angle_beta 90.00
_cell_angle_gamma 90.00
loop_
_atom_site_label
_atom_site_type_symbol
_atom_site_fract_x
_atom_site_fract_y
_atom_site_fract_z
K1 K 0.000 0.000 0.000
Re1 Re 0.000 0.500 0.250
Pt1 Pt 0.000 0.000 0.500
```

Computed properties:
The value obtained for the calculated volume is 17.70 A^3/atom.

***

Stability summary: most stable model ii, least stable model iii.

***

Model i:
KRe2Pt | PBE | relaxed

Geometry as CIF:
```
data_KRe2Pt
_chemical_formula_sum 'K1 Re2 Pt1'
_space_group_name_H-M_alt 'P m m m'
_space_group_IT_number 47
_space_group_name_Hall '-P 2 2'
_cell_length_a 2.739
_cell_length_b 4.865
_cell_length_c 5.308
_cell_angle_alpha 90.00
_cell_angle_beta 90.00
_cell_angle_gamma 90.00
loop_
_atom_site_label
_atom_site_type_symbol
_atom_site_fract_x
_atom_site_fract_y
_atom_site_fract_z
K1 K 0.000 0.000 0.000
Re1 Re 0.000 0.500 0.500
Re2 Re 0.500 0.000 0.500
Pt1 Pt 0.500 0.500 0.000
```

Computed properties:
The value obtained for the calculated volume is 17.68 A^3/atom.

***

Model ii:
KRe2Pt | PBE | relaxed

Geometry as CIF:
```
data_KRe2Pt
_chemical_formula_sum 'K4 Re8 Pt4'
_space_group_name_H-M_alt 'I -4 2 d'
_space_group_IT_number 122
_space_group_name_Hall 'I -4 2bw'
_cell_length_a 4.154
_cell_length_b 4.154
_cell_length_c 19.617
_cell_angle_alpha 90.00
_cell_angle_beta 90.00
_cell_angle_gamma 90.00
loop_
_atom_site_label
_atom_site_type_symbol
_atom_site_fract_x
_atom_site_fract_y
_atom_site_fract_z
K1 K 0.000 0.000 0.000
Re1 Re 0.149 0.250 0.625
Pt1 Pt 0.000 0.000 0.500
```

Computed properties:
The value obtained for the calculated volume is 21.16 A^3/atom.

***

Stability summary: most stable model i, least stable model ii.